# 1
# RuPb3

RuPb3 after structural relaxation (PBE, Alexandria via LeMat-Bulk).

Lattice parameters (Å, degrees): 5.166 5.166 7.348 90.00 90.00 90.00
Space group I4/mmm (No. 139)
Symmetry-distinct sites (fractional):
1 Ru 0.000 0.000 0.000 (multiplicity 2)
2 Pb 0.000 0.000 0.500 (multiplicity 2)
3 Pb 0.000 0.500 0.250 (multiplicity 4)

For the density of states at the Fermi level, the calculation gives 6.1 states/eV/cell. As for the formation energy: 2.29 eV/f.u. Its crystal system is tetragonal. Its magnetization is 0.00 Bohr magnetons per cell. The value obtained for the energy above the most stable polymorph in this dataset is 331.8 meV/atom. Its total energy is -4.53 eV per atom.

# 2
# RuPb3

RuPb3 after structural relaxation (PBE, Alexandria via LeMat-Bulk).

Lattice parameters (Å, degrees): 7.228 8.687 6.417 90.00 90.00 90.00
Space group Pnma (No. 62)
Symmetry-distinct sites (fractional):
1 Ru 0.136 0.250 0.036 (multiplicity 4)
2 Pb 0.011 0.750 0.369 (multiplicity 4)
3 Pb 0.180 0.562 0.857 (multiplicity 8)

For the density of states at the Fermi level, the calculation gives 12.9 states/eV/cell. As for the formation energy: 0.96 eV/f.u. Its crystal system is orthorhombic. Its magnetization is 0.00 Bohr magnetons per cell. The value obtained for the energy above the most stable polymorph in this dataset is 0.0 meV/atom. Its total energy is -4.86 eV per atom.

# 3
# Ru3Pb

Ru3Pb after structural relaxation (PBE, Alexandria via LeMat-Bulk).

Lattice parameters (Å, degrees): 8.8613 8.8613 2.9379 90.00 90.00 120.00
Space group R-3m (No. 166, hexagonal axes)
Symmetry-distinct sites (fractional):
1 Ru 0.0000 0.5000 0.0000 (multiplicity 9)
2 Pb 0.0000 0.0000 0.0000 (multiplicity 3)

For the density of states at the Fermi level, the calculation gives 18.4 states/eV/cell. As for the formation energy: 3.20 eV/f.u. Its crystal system is trigonal. Its magnetization is 6.76 Bohr magnetons per cell. Its total energy is -7.08 eV per atom.

# 4
# RuPb

RuPb after structural relaxation (PBE, Alexandria via LeMat-Bulk).

Lattice parameters (Å, degrees): 7.477 7.477 7.477 90.00 90.00 90.00
Space group Pm-3n (No. 223)
Symmetry-distinct sites (fractional):
1 Ru 0.000 0.250 0.500 (multiplicity 6)
2 Pb 0.000 0.500 0.250 (multiplicity 6)

For the density of states at the Fermi level, the calculation gives 24.2 states/eV/cell. As for the formation energy: 2.69 eV/f.u. Its crystal system is cubic. Its magnetization is 0.03 Bohr magnetons per cell. Its total energy is -5.15 eV per atom.

# 5
# RuPb

RuPb after structural relaxation (PBE, Alexandria via LeMat-Bulk).

Lattice parameters (Å, degrees): 5.361 5.361 5.361 90.00 90.00 90.00
Space group P2_13 (No. 198)
Symmetry-distinct sites (fractional):
1 Ru 0.113 0.113 0.113 (multiplicity 4)
2 Pb 0.088 0.588 0.912 (multiplicity 4)

For the density of states at the Fermi level, the calculation gives 8.0 states/eV/cell. As for the formation energy: 1.00 eV/f.u. Its crystal system is cubic. Its magnetization is 0.00 Bohr magnetons per cell. Its total energy is -5.99 eV per atom.

# 6
# RuPb3

RuPb3 after structural relaxation (PBE, Alexandria via LeMat-Bulk).

Lattice parameters (Å, degrees): 5.242 12.701 3.379 90.00 90.00 90.00
Space group Pmmn (No. 59, origin choice 2)
Symmetry-distinct sites (fractional):
1 Ru 0.250 0.250 0.002 (multiplicity 2)
2 Pb 0.250 0.074 0.502 (multiplicity 4)
3 Pb 0.250 0.750 0.997 (multiplicity 2)

For the density of states at the Fermi level, the calculation gives 2.5 states/eV/cell. As for the formation energy: 0.98 eV/f.u. Its crystal system is orthorhombic. Its magnetization is 0.00 Bohr magnetons per cell. The value obtained for the energy above the most stable polymorph in this dataset is 3.9 meV/atom. Its total energy is -4.86 eV per atom.

# 7
# RuPb3

RuPb3 after structural relaxation (PBE, Alexandria via LeMat-Bulk).

Lattice parameters (Å, degrees): 3.304 4.594 13.682 90.00 90.00 90.00
Space group Immm (No. 71)
Symmetry-distinct sites (fractional):
1 Ru 0.000 0.000 0.000 (multiplicity 2)
2 Pb 0.000 0.000 0.500 (multiplicity 2)
3 Pb 0.000 0.500 0.319 (multiplicity 4)

For the density of states at the Fermi level, the calculation gives 4.2 states/eV/cell. As for the formation energy: 1.13 eV/f.u. Its crystal system is orthorhombic. Its magnetization is 0.00 Bohr magnetons per cell. The value obtained for the energy above the most stable polymorph in this dataset is 42.6 meV/atom. Its total energy is -4.82 eV per atom.

# 8
# RuPb

RuPb after structural relaxation (PBE, Alexandria via LeMat-Bulk).

Lattice parameters (Å, degrees): 6.102 6.102 6.102 90.00 90.00 90.00
Space group F-43m (No. 216)
Symmetry-distinct sites (fractional):
1 Ru 0.000 0.000 0.000 (multiplicity 4)
2 Pb 0.250 0.250 0.750 (multiplicity 4)

For the density of states at the Fermi level, the calculation gives 13.3 states/eV/cell. As for the formation energy: 2.52 eV/f.u. Its crystal system is cubic. Its magnetization is 0.00 Bohr magnetons per cell. Its total energy is -5.23 eV per atom.

# 9
# RuPb

RuPb after structural relaxation (PBE, Alexandria via LeMat-Bulk).

Lattice parameters (Å, degrees): 11.355 3.130 7.516 90.00 113.11 90.00
Space group Cm (No. 8)
Symmetry-distinct sites (fractional):
1 Ru 0.000 0.000 0.000 (multiplicity 2)
2 Ru 0.095 0.500 0.793 (multiplicity 2)
3 Ru 0.278 0.000 0.034 (multiplicity 2)
4 Pb 0.188 0.500 0.265 (multiplicity 2)
5 Pb 0.319 0.000 0.700 (multiplicity 2)
6 Pb 0.481 0.500 0.397 (multiplicity 2)

For the density of states at the Fermi level, the calculation gives 11.0 states/eV/cell. As for the formation energy: 1.02 eV/f.u. Its crystal system is monoclinic. Its magnetization is 0.00 Bohr magnetons per cell. Its total energy is -5.98 eV per atom.

# 10
# RuPb

RuPb after structural relaxation (PBE, Alexandria via LeMat-Bulk).

Lattice parameters (Å, degrees): 5.1057 5.1057 7.7869 90.00 90.00 120.00
Space group P6_3/mmc (No. 194)
Symmetry-distinct sites (fractional):
1 Ru 0.3333 0.6667 0.0989 (multiplicity 4)
2 Pb 0.0000 0.0000 0.2500 (multiplicity 2)
3 Pb 0.3333 0.6667 0.7500 (multiplicity 2)

For the density of states at the Fermi level, the calculation gives 9.0 states/eV/cell. As for the formation energy: 1.86 eV/f.u. Its crystal system is hexagonal. Its magnetization is 0.00 Bohr magnetons per cell. Its total energy is -5.56 eV per atom.

# 11
# RuPb3

RuPb3 after structural relaxation (PBE, Alexandria via LeMat-Bulk).

Lattice parameters (Å, degrees): 3.382 3.382 8.643 90.00 90.00 90.00
Space group P4/mmm (No. 123)
Symmetry-distinct sites (fractional):
1 Ru 0.000 0.000 0.000 (multiplicity 1)
2 Pb 0.000 0.000 0.500 (multiplicity 1)
3 Pb 0.500 0.500 0.196 (multiplicity 2)

For the density of states at the Fermi level, the calculation gives 3.4 states/eV/cell. As for the formation energy: 1.13 eV/f.u. Its crystal system is tetragonal. Its magnetization is 0.00 Bohr magnetons per cell. The value obtained for the energy above the most stable polymorph in this dataset is 41.7 meV/atom. Its total energy is -4.82 eV per atom.

# 12
# RuPb3

RuPb3 after structural relaxation (PBE, Alexandria via LeMat-Bulk).

Lattice parameters (Å, degrees): 9.628 11.649 3.941 90.00 90.00 90.00
Space group Cmcm (No. 63)
Symmetry-distinct sites (fractional):
1 Ru 0.000 0.064 0.250 (multiplicity 4)
2 Pb 0.000 0.373 0.750 (multiplicity 4)
3 Pb 0.203 0.133 0.750 (multiplicity 8)

For the density of states at the Fermi level, the calculation gives 13.9 states/eV/cell. As for the formation energy: 1.38 eV/f.u. Its crystal system is orthorhombic. Its magnetization is 0.00 Bohr magnetons per cell. The value obtained for the energy above the most stable polymorph in this dataset is 102.8 meV/atom. Its total energy is -4.76 eV per atom.

# 13
# Ru3Pb

Ru3Pb after structural relaxation (PBE, Alexandria via LeMat-Bulk).

Lattice parameters (Å, degrees): 9.175 2.932 4.938 90.00 100.39 90.00
Space group C2/m (No. 12)
Symmetry-distinct sites (fractional):
1 Ru 0.000 0.000 0.000 (multiplicity 2)
2 Ru 0.240 0.500 0.215 (multiplicity 4)
3 Pb 0.000 0.500 0.500 (multiplicity 2)

For the density of states at the Fermi level, the calculation gives 10.2 states/eV/cell. As for the formation energy: 1.95 eV/f.u. Its crystal system is monoclinic. Its magnetization is 0.00 Bohr magnetons per cell. Its total energy is -7.40 eV per atom.

# 14
# Ru3Pb

Ru3Pb after structural relaxation (PBE, Alexandria via LeMat-Bulk).

Lattice parameters (Å, degrees): 5.084 5.084 5.084 90.00 90.00 90.00
Space group Pm-3n (No. 223)
Symmetry-distinct sites (fractional):
1 Ru 0.000 0.250 0.500 (multiplicity 6)
2 Pb 0.000 0.000 0.000 (multiplicity 2)

For the density of states at the Fermi level, the calculation gives 10.2 states/eV/cell. As for the formation energy: 2.97 eV/f.u. Its crystal system is cubic. Its magnetization is 0.00 Bohr magnetons per cell. Its total energy is -7.14 eV per atom.

# 15
# RuPb

RuPb after structural relaxation (PBE, Alexandria via LeMat-Bulk).

Lattice parameters (Å, degrees): 3.022 3.475 8.361 90.00 90.00 90.00
Space group Pmmn (No. 59, origin choice 2)
Symmetry-distinct sites (fractional):
1 Ru 0.250 0.250 0.071 (multiplicity 2)
2 Pb 0.250 0.250 0.690 (multiplicity 2)

For the density of states at the Fermi level, the calculation gives 3.7 states/eV/cell. As for the formation energy: 0.74 eV/f.u. Its crystal system is orthorhombic. Its magnetization is 0.00 Bohr magnetons per cell. Its total energy is -6.12 eV per atom.

# 16
# RuPb5

RuPb5 after structural relaxation (PBE, Alexandria via LeMat-Bulk).

Lattice parameters (Å, degrees): 8.947 8.947 8.947 90.00 90.00 90.00
Space group F-43m (No. 216)
Symmetry-distinct sites (fractional):
1 Ru 0.000 0.000 0.000 (multiplicity 4)
2 Pb 0.126 0.126 0.374 (multiplicity 16)
3 Pb 0.250 0.250 0.750 (multiplicity 4)

For the density of states at the Fermi level, the calculation gives 23.2 states/eV/cell. As for the formation energy: 4.40 eV/f.u. Its crystal system is cubic. Its magnetization is 5.97 Bohr magnetons per cell. The value obtained for the energy above the most stable polymorph in this dataset is 543.3 meV/atom. Its total energy is -3.90 eV per atom.

# 17
# RuPb

RuPb after structural relaxation (PBE, Alexandria via LeMat-Bulk).

Lattice parameters (Å, degrees): 3.0982 3.0982 10.5881 90.00 90.00 120.00
Space group P-3m1 (No. 164)
Symmetry-distinct sites (fractional):
1 Ru 0.3333 0.6667 0.0894 (multiplicity 2)
2 Pb 0.3333 0.6667 0.6849 (multiplicity 2)

For the density of states at the Fermi level, the calculation gives 3.9 states/eV/cell. As for the formation energy: 1.10 eV/f.u. Its crystal system is trigonal. Its magnetization is 0.00 Bohr magnetons per cell. Its total energy is -5.94 eV per atom.

# 18
# Ru3Pb

Ru3Pb after structural relaxation (PBE, Alexandria via LeMat-Bulk).

Lattice parameters (Å, degrees): 4.542 5.718 4.983 90.00 90.00 90.00
Space group Pmmn (No. 59, origin choice 2)
Symmetry-distinct sites (fractional):
1 Ru 0.250 0.010 0.135 (multiplicity 4)
2 Ru 0.250 0.250 0.677 (multiplicity 2)
3 Pb 0.250 0.750 0.639 (multiplicity 2)

For the density of states at the Fermi level, the calculation gives 8.6 states/eV/cell. As for the formation energy: 1.84 eV/f.u. Its crystal system is orthorhombic. Its magnetization is 0.00 Bohr magnetons per cell. Its total energy is -7.42 eV per atom.

# 19
# RuPb

RuPb after structural relaxation (PBE, Alexandria via LeMat-Bulk).

Lattice parameters (Å, degrees): 4.4718 4.4718 5.0362 90.00 90.00 120.00
Space group P6_3/mmc (No. 194)
Symmetry-distinct sites (fractional):
1 Ru 0.0000 0.0000 0.0000 (multiplicity 2)
2 Pb 0.3333 0.6667 0.2500 (multiplicity 2)

For the density of states at the Fermi level, the calculation gives 4.0 states/eV/cell. As for the formation energy: 0.93 eV/f.u. Its crystal system is hexagonal. Its magnetization is 0.00 Bohr magnetons per cell. Its total energy is -6.03 eV per atom.

# 20
# Ru7Pb6

Ru7Pb6 after structural relaxation (PBE, Alexandria via LeMat-Bulk).

Lattice parameters (Å, degrees): 5.6290 5.6290 27.6521 90.00 90.00 120.00
Space group R-3m (No. 166, hexagonal axes)
Symmetry-distinct sites (fractional):
1 Ru 0.0000 0.0000 0.0000 (multiplicity 3)
2 Ru 0.0032 0.5016 0.5868 (multiplicity 18)
3 Pb 0.0000 0.0000 0.1661 (multiplicity 6)
4 Pb 0.0000 0.0000 0.3366 (multiplicity 6)
5 Pb 0.0000 0.0000 0.4443 (multiplicity 6)

For the density of states at the Fermi level, the calculation gives 52.8 states/eV/cell. As for the formation energy: 6.93 eV/f.u. Its crystal system is trigonal. Its magnetization is 0.00 Bohr magnetons per cell. Its total energy is -6.17 eV per atom.